(1)
## AlInCuO4 (PBE-GGA)

Data for a geometry-optimized AlInCuO4 structure.

## Properties
VASP energy (eV per atom): -6.048
E_form (uncorrected) (eV/atom): -1.704

a b c (Å): 8.6285 8.6285 8.6285
angles (deg): 22.21 22.21 22.21
With the nearest neighbours (Å) after each atom.
Element x y z (fractional)
Al: 0.4149 0.4149 0.4149  5 O 1.85-1.92
In: 0.2006 0.2006 0.2006  6 O 2.18-2.24
Cu: 0.9885 0.9885 0.9885  4 O 1.97-2.02
O: 0.4883 0.4883 0.4883  1 Al 1.85
O: 0.9085 0.9085 0.9085  1 Cu 2.02, 3 In 2.18
O: 0.3401 0.3401 0.3401  1 Al 1.89, 3 Cu 1.97
O: 0.0795 0.0795 0.0795  3 Al 1.92

(2)
## Nb3PtW (PBE-GGA)

Data for a geometry-optimized Nb3PtW structure.

## Properties
VASP energy (eV per atom): -8.322
Energy of formation from the pure elements (eV per formula unit): 7.592

a b c (Å): 4.8176 4.8176 4.8176
angles (deg): 90.00 90.00 90.00
With the nearest neighbours (Å) after each atom.
Element x y z (fractional)
Nb: 0.0000 0.5000 0.0000  2 Pt 2.41
Nb: 0.0000 0.0000 0.5000  2 Pt 2.41
Nb: 0.5000 0.0000 0.0000  2 Pt 2.41
W: 0.5000 0.5000 0.5000  12 Nb 3.41
Pt: 0.0000 0.0000 0.0000  6 Nb 2.41

(3)
## K5Cd4Au4 (PBE-GGA)

Data for a geometry-optimized K5Cd4Au4 structure.

## Properties
VASP energy (eV per atom): -1.939
Energy of formation from the pure elements (eV per formula unit): -2.947

a b c (Å): 4.7461 9.5340 9.5340
angles (deg): 86.45 75.59 75.59
With the nearest neighbours (Å) after each atom.
Element x y z (fractional)
K: 0.7074 0.9317 0.6535  5 Au 3.44-3.59, 4 Cd 3.64-3.77
K: 0.2926 0.0683 0.3465  5 Au 3.44-3.59, 4 Cd 3.64-3.77
K: 0.0000 0.0000 0.0000  4 Au 3.55
K: 0.6391 0.6535 0.0683  5 Au 3.44-3.59, 4 Cd 3.64-3.77
K: 0.3609 0.3465 0.9317  5 Au 3.44-3.59, 4 Cd 3.64-3.77
Cd: 0.8917 0.5378 0.6788  3 Au 2.89-2.92
Cd: 0.5705 0.3212 0.5378  3 Au 2.89-2.92
Cd: 0.1083 0.4622 0.3212  3 Au 2.89-2.92
Cd: 0.4295 0.6788 0.4622  3 Au 2.89-2.92
Au: 0.7322 0.3144 0.2212  3 Cd 2.89-2.92
Au: 0.2678 0.6856 0.7788  3 Cd 2.89-2.92
Au: 0.9534 0.7788 0.3144  3 Cd 2.89-2.92
Au: 0.0466 0.2212 0.6856  3 Cd 2.89-2.92

(4)
## LaCuS2Cl (PBE-GGA)

Data for a geometry-optimized LaCuS2Cl structure.

## Properties
VASP energy (eV per atom): -4.205
E_form (uncorrected) (eV/atom): -0.380
Energy above the most stable polymorph in this dataset (meV per atom): 714.0

a b c (Å): 5.5087 5.5087 5.5017
angles (deg): 90.00 90.00 90.00
With the nearest neighbours (Å) after each atom.
Element x y z (fractional)
S: 0.0000 0.5000 0.0000  2 La 2.75
S: 0.5000 0.0000 0.0000  2 La 2.75
Cl: 0.0000 0.0000 0.5000  2 La 2.75
Cu: 0.5000 0.5000 0.5000  8 S 3.89, 4 Cl 3.90
La: 0.0000 0.0000 0.0000  2 Cl 2.75, 4 S 2.75

(5)
## Zr2Sn2S (PBE-GGA)

Data for a geometry-optimized Zr2Sn2S structure.

## Properties
VASP energy (eV per atom): -6.480
E_form (uncorrected) (eV/atom): -0.634
Energy above the most stable polymorph in this dataset (meV per atom): 0.0

a b c (Å): 6.8883 6.8883 4.7433
angles (deg): 90.00 90.00 90.00
With the nearest neighbours (Å) after each atom.
Element x y z (fractional)
S: 0.0000 0.0000 0.0000  4 Zr 2.57
S: 0.5000 0.5000 0.0000  4 Zr 2.57
Sn: 0.1505 0.6505 0.5000  1 Sn 2.93, 6 Zr 2.98-3.22
Sn: 0.6505 0.8495 0.5000  1 Sn 2.93, 6 Zr 2.98-3.22
Sn: 0.8495 0.3495 0.5000  1 Sn 2.93, 6 Zr 2.98-3.22
Sn: 0.3495 0.1505 0.5000  1 Sn 2.93, 6 Zr 2.98-3.22
Zr: 0.3354 0.8354 0.0000  2 S 2.57
Zr: 0.8354 0.6646 0.0000  2 S 2.57
Zr: 0.6646 0.1646 0.0000  2 S 2.57
Zr: 0.1646 0.3354 0.0000  2 S 2.57

(6)
## KOsC2O8 (PBE-GGA)

Data for a geometry-optimized KOsC2O8 structure.

## Properties
VASP energy (eV per atom): -6.872
E_form (uncorrected) (eV/atom): -1.002

a b c (Å): 4.5762 4.5762 7.9440
angles (deg): 85.50 85.50 65.40
With the nearest neighbours (Å) after each atom.
Element x y z (fractional)
K: 0.0000 0.0000 0.5000  10 O 2.82-3.10
Os: 0.0000 0.0000 0.0000  6 O 1.88-1.92
C: 0.6290 0.6290 0.1946  1 O 1.26
C: 0.3710 0.3710 0.8054  1 O 1.26
O: 0.7152 0.2539 0.8279  1 C 1.46
O: 0.7554 0.7554 0.0442  1 C 1.47
O: 0.6906 0.6906 0.3366  1 C 1.26
O: 0.3094 0.3094 0.6634  1 C 1.26
O: 0.2446 0.2446 0.9558  1 C 1.47
O: 0.2539 0.7152 0.8279  1 C 1.46
O: 0.7461 0.2848 0.1721  1 C 1.46
O: 0.2848 0.7461 0.1721  1 C 1.46

(7)
## FeHg2OsCl (PBE-GGA)

Data for a geometry-optimized FeHg2OsCl structure.

## Properties
VASP energy (eV per atom): -2.727
E_form (uncorrected) (eV/atom): 1.701

a b c (Å): 5.4953 5.4953 4.2416
angles (deg): 90.00 90.00 90.00
With the nearest neighbours (Å) after each atom.
Element x y z (fractional)
Cl: 0.0000 0.0000 0.0000  2 Os 2.12
Os: 0.0000 0.0000 0.5000  2 Cl 2.12
Hg: 0.0000 0.5000 0.0000  2 Cl 2.75
Hg: 0.5000 0.0000 0.0000  2 Cl 2.75
Fe: 0.5000 0.5000 0.5000  8 Hg 3.47, 4 Os 3.89

(8)
## Ba2SrSb (PBE-GGA)

Data for a geometry-optimized Ba2SrSb structure.

## Properties
VASP energy (eV per atom): -2.954
E_form (uncorrected) (eV/atom): -0.542

a b c (Å): 4.8430 5.3643 8.2939
angles (deg): 71.13 90.00 90.00
With the nearest neighbours (Å) after each atom.
Element x y z (fractional)
Ba: 0.0000 0.9388 0.9975  1 Sb 3.46
Ba: 0.5000 0.2680 0.3389  4 Sb 3.70, 2 Sr 4.05
Sb: 0.0000 0.7185 0.4379  2 Sr 3.31, 5 Ba 3.46-3.70
Sr: 0.5000 0.5747 0.7257  2 Sb 3.31